Run P
Material: LaHoCdGa
Method: DFT, PBE
State: relaxed

## Properties
Crystal system: cubic

Lattice parameters (Å, degrees): 5.3173 5.3173 5.3173 60.00 60.00 60.00
Last column: nearest neighbours and their distance in Å.
Positions (direct):
La1 0.5000 0.5000 0.5000  4 Cd 3.26, 4 Ga 3.26
Ga1 0.2500 0.2500 0.2500  4 Ho 3.26, 4 La 3.26
Cd1 0.7500 0.7500 0.7500  4 La 3.26, 4 Ho 3.26
Ho1 0.0000 0.0000 0.0000  4 Ga 3.26, 4 Cd 3.26

---

Run Q
Material: LaHoCdGa
Method: DFT, PBE
State: relaxed

## Properties
Crystal system: tetragonal

Lattice parameters (Å, degrees): 3.6731 3.6731 7.7737 90.00 90.00 90.00
Last column: nearest neighbours and their distance in Å.
Positions (direct):
Ga1 0.0000 0.0000 0.3785  4 Ho 3.07, 4 La 3.25
Ho1 0.5000 0.5000 0.5901  4 Ga 3.07, 4 Cd 3.21
Cd1 0.0000 0.0000 0.8321  4 Ho 3.21, 4 La 3.47, 1 Ga 3.53
La1 0.5000 0.5000 0.1272  4 Ga 3.25, 4 Cd 3.47, 1 Ho 3.60

---

Q: What are the energies relative to the best structure? A: run P 2.8; run Q 0.0, in kJ/mol of atoms.

---

Run P
Material: YHoCdGa
Method: DFT, PBE
State: relaxed

## Properties
Crystal system: tetragonal

Lattice parameters (Å, degrees): 3.6250 3.6250 7.4161 90.00 90.00 90.00
Last column: nearest neighbours and their distance in Å.
Positions (direct):
Cd1 0.5000 0.5000 0.1044  4 Ho 3.22, 4 Y 3.24
Ga1 0.5000 0.5000 0.6097  4 Ho 3.09, 4 Y 3.11
Ho1 0.0000 0.0000 0.8419  4 Ga 3.09, 4 Cd 3.22
Y1 0.0000 0.0000 0.3720  4 Ga 3.11, 4 Cd 3.24

---

Run Q
Material: YHoCdGa
Method: DFT, PBE
State: relaxed

## Properties
Crystal system: cubic

Lattice parameters (Å, degrees): 5.1688 5.1688 5.1688 60.00 60.00 60.00
Last column: nearest neighbours and their distance in Å.
Positions (direct):
Y1 0.5000 0.5000 0.5000  4 Ga 3.17, 4 Cd 3.17
Ga1 0.2500 0.2500 0.2500  4 Ho 3.17, 4 Y 3.17
Cd1 0.7500 0.7500 0.7500  4 Ho 3.17, 4 Y 3.17
Ho1 0.0000 0.0000 0.0000  4 Cd 3.17, 4 Ga 3.17

---

Q: What are the energies relative to the best structure? A: run P 0.0; run Q 1.7, in kJ/mol of atoms.

---

Run P
Material: Cd2GaI
Method: DFT, PBE
State: relaxed

## Properties
Crystal system: tetragonal

Lattice parameters (Å, degrees): 7.1709 7.1709 7.6810 62.17 62.17 90.00
Last column: nearest neighbours and their distance in Å.
Positions (direct):
Cd1 0.5742 0.1250 0.2500  2 Ga 2.71
Cd2 0.3750 0.4258 0.7500  2 Ga 2.71
I1 0.7500 0.2500 0.5000  4 Cd 3.15
Cd3 0.1758 0.6250 0.2500  2 Ga 2.71
Cd4 0.8750 0.8242 0.7500  2 Ga 2.71
Ga1 0.2500 0.7500 0.5000  4 Cd 2.71
I2 0.0000 0.0000 0.0000  4 Cd 3.15
Ga2 0.5000 0.5000 0.0000  4 Cd 2.71

---

Run Q
Material: Cd2GaI
Method: DFT, PBE
State: relaxed

## Properties
Crystal system: cubic

Lattice parameters (Å, degrees): 5.5633 5.5633 5.5633 60.00 60.00 60.00
Last column: nearest neighbours and their distance in Å.
Positions (direct):
Ga1 0.0000 0.0000 0.0000  8 Cd 3.41
Cd1 0.2500 0.2500 0.2500  4 I 3.41, 4 Ga 3.41
I1 0.5000 0.5000 0.5000  8 Cd 3.41
Cd2 0.7500 0.7500 0.7500  4 I 3.41, 4 Ga 3.41

---

Q: What are the energies relative to the best structure? A: run P 0.0; run Q 18.1, in kJ/mol of atoms.

---

Run P
Material: CdGa2I4
Method: DFT, PBE
State: relaxed

## Properties
Crystal system: orthorhombic

Lattice parameters (Å, degrees): 4.4760 9.5072 13.0990 90.00 90.00 90.00
Last column: nearest neighbours and their distance in Å.
Positions (direct):
I1 0.0000 0.0560 0.7279  1 Cd 3.03, 4 Ga 3.24-3.35
I2 0.5000 0.7830 0.5294  2 Cd 3.07, 1 Ga 3.21
I3 0.5000 0.7170 0.0294  2 Cd 3.07, 1 Ga 3.21
I4 0.0000 0.9440 0.2721  1 Cd 3.03, 4 Ga 3.24-3.35
I5 0.0000 0.4440 0.2279  1 Cd 3.03, 4 Ga 3.24-3.35
Ga1 0.5000 0.8021 0.7739  6 I 3.21-3.44
Cd1 0.0000 0.0000 0.5000  6 I 3.03-3.07
Ga2 0.5000 0.1979 0.2261  6 I 3.21-3.44
I6 0.5000 0.2830 0.9706  2 Cd 3.07, 1 Ga 3.21
I7 0.5000 0.2170 0.4706  2 Cd 3.07, 1 Ga 3.21
I8 0.0000 0.5560 0.7721  1 Cd 3.03, 4 Ga 3.24-3.35
Ga3 0.5000 0.3021 0.7261  6 I 3.21-3.44
Ga4 0.5000 0.6979 0.2739  6 I 3.21-3.44
Cd2 0.0000 0.5000 0.0000  6 I 3.03-3.07

---

Run Q
Material: CdGa2I4
Method: DFT, PBE
State: relaxed

## Properties
Crystal system: tetragonal

Lattice parameters (Å, degrees): 6.2248 6.2248 8.5287 111.40 111.40 90.00
Last column: nearest neighbours and their distance in Å.
Positions (direct):
Cd1 0.0000 0.0000 0.0000  6 I 2.88-3.11
I1 0.0000 0.5000 0.0000  2 Cd 3.11, 4 Ga 3.47
I2 0.1969 0.1969 0.3938  1 Cd 2.88, 1 Ga 2.89
Ga1 0.6053 0.6053 0.2105  1 I 2.89, 1 Ga 3.08
I3 0.5000 0.0000 0.0000  2 Cd 3.11, 4 Ga 3.47
Ga2 0.3947 0.3947 0.7895  1 I 2.89, 1 Ga 3.08
I4 0.8031 0.8031 0.6062  1 Cd 2.88, 1 Ga 2.89

---

Q: What are the energies relative to the best structure? A: run P 0.0; run Q 10.5, in kJ/mol of atoms.